Model i:
{
  "formula": "GeSBr2",
  "functional": "GGA-PBE",
  "state": "relaxed",
  "cell": [[-6.2086, 7.6209, 2.2747], [-5.4455, -6.1767, 5.8305], [-4.4488, 1.2833, 5.9345]],
  "species": ["Ge", "Ge", "S", "S", "Br", "Br", "Br", "Br"],
  "frac_coords": [[0.0000, 0.0000, 0.0000], [0.7500, 0.2500, 0.5000], [0.5000, 0.5000, 0.0000], [0.2500, 0.7500, 0.5000], [0.7846, 0.1250, 0.2500], [0.9654, 0.6250, 0.2500], [0.3750, 0.2154, 0.7500], [0.8750, 0.0346, 0.7500]],
  "magmom_total_mub_per_fu": 1.01,
  "spacegroup": "I-42d, No. 122"
}

***

Model ii:
{
  "formula": "GeSBr2",
  "functional": "GGA-PBE",
  "state": "relaxed",
  "cell": [[0.0000, 3.6095, 3.6095], [3.6095, 0.0000, 3.6095], [3.6095, 3.6095, 0.0000]],
  "species": ["Ge", "S", "Br", "Br"],
  "frac_coords": [[0.5000, 0.5000, 0.5000], [0.0000, 0.0000, 0.0000], [0.2500, 0.2500, 0.2500], [0.7500, 0.7500, 0.7500]],
  "magmom_total_mub_per_fu": 2.00,
  "spacegroup": "Fm-3m, No. 225"
}

***

Model iii:
{
  "formula": "GeSBr2",
  "functional": "GGA-PBE",
  "state": "relaxed",
  "cell": [[2.3558, 0.0000, 8.3082], [-1.1779, 2.0401, 8.3082], [-1.1779, -2.0401, 8.3082]],
  "species": ["Ge", "S", "Br", "Br"],
  "frac_coords": [[0.5000, 0.5000, 0.5000], [0.0000, 0.0000, 0.0000], [0.9016, 0.9016, 0.9016], [0.0984, 0.0984, 0.0984]],
  "magmom_total_mub_per_fu": 0.20,
  "spacegroup": "R-3m, No. 166"
}

***

Most stable structure: model i

***

Model i:
{
  "formula": "Ge3S2Br2",
  "functional": "GGA-PBE",
  "state": "relaxed",
  "cell": [[-4.7080, 3.3652, 5.0658], [-4.6295, -5.4362, -0.6913], [1.1644, -1.9220, 7.3158]],
  "species": ["Ge", "Ge", "Ge", "Ge", "Ge", "Ge", "S", "S", "S", "S", "Br", "Br", "Br", "Br"],
  "frac_coords": [[0.5000, 0.5000, 0.0000], [0.0000, 0.0000, 0.0000], [0.7711, 0.0347, 0.6710], [0.7289, 0.5347, 0.3290], [0.2711, 0.4653, 0.6710], [0.2289, 0.9653, 0.3290], [0.5929, 0.3667, 0.6342], [0.9071, 0.8667, 0.3658], [0.0929, 0.1333, 0.6342], [0.4071, 0.6333, 0.3658], [0.8464, 0.6985, 0.8764], [0.3464, 0.8015, 0.8764], [0.6536, 0.1985, 0.1236], [0.1536, 0.3015, 0.1236]],
  "magmom_total_mub_per_fu": 0.00,
  "spacegroup": "P2_1/c, No. 14"
}

***

Model ii:
{
  "formula": "Ge3S2Br2",
  "functional": "GGA-PBE",
  "state": "relaxed",
  "cell": [[-1.7885, 0.1472, -3.4287], [-2.1967, -6.1815, 0.8805], [-4.5263, 4.3609, 4.7323]],
  "species": ["Ge", "Ge", "Ge", "S", "S", "Br", "Br"],
  "frac_coords": [[0.0000, 0.0000, 0.0000], [0.7464, 0.7734, 0.4928], [0.2536, 0.2266, 0.5072], [0.8428, 0.1323, 0.6855], [0.1572, 0.8677, 0.3145], [0.5867, 0.2916, 0.1734], [0.4133, 0.7084, 0.8266]],
  "magmom_total_mub_per_fu": 0.00,
  "spacegroup": "C2/m, No. 12"
}

***

Most stable structure: model ii